1.
Density functional theory data (PBE-GGA) for crystalline K2BeCl at its relaxed geometry.

The structure in POSCAR format:
```
K2BeCl
1.0
0.000 4.053 4.053
4.053 0.000 4.053
4.053 4.053 0.000
K Cl Be
2 1 1
Direct
0.250 0.250 0.250
0.750 0.750 0.750
0.500 0.500 0.500
0.000 0.000 0.000
```

Calculated values
The calculation puts the raw formation energy at -0.107 eV/atom. The density of states at the Fermi level comes out at 1.72 states/eV per cell. As for the total magnetization: 0.892 μB per cell. As for the crystal system: cubic. Its space-group type is No. 225. Its excess energy over the best structure of this formula in the dataset is 19.1 kJ/mol of atoms.

2.
Density functional theory data (PBE-GGA) for crystalline KBe2Cl at its relaxed geometry.

The structure in POSCAR format:
```
KBe2Cl
1.0
-1.218 2.917 0.861
-2.092 -0.130 -2.518
-5.498 -3.700 4.758
Be Cl K
2 1 1
Direct
0.000 0.000 0.435
0.000 0.000 0.065
0.500 0.500 0.250
0.500 0.500 0.750
```

Calculated values
The calculation puts the raw formation energy at 0.786 eV/atom. The density of states at the Fermi level comes out at 0.33 states/eV per cell. As for the total magnetization: 0.000 μB per cell. As for the crystal system: tetragonal. Its space-group type is No. 123. Its excess energy over the best structure of this formula in the dataset is 75.2 kJ/mol of atoms.

3.
Density functional theory data (PBE-GGA) for crystalline KBe3Cl at its relaxed geometry.

The structure in POSCAR format:
```
KBe3Cl
1.0
-4.648 0.721 -1.292
1.186 -0.733 -4.674
-0.885 -4.768 0.524
Be Cl K
3 1 1
Direct
0.000 0.000 0.500
0.000 0.500 0.000
0.500 0.000 0.000
0.000 0.000 0.000
0.500 0.500 0.500
```

Calculated values
The calculation puts the raw formation energy at 1.386 eV/atom. The density of states at the Fermi level comes out at 2.42 states/eV per cell. As for the total magnetization: 0.000 μB per cell. As for the crystal system: cubic. Its space-group type is No. 221. Its excess energy over the best structure of this formula in the dataset is 0.0 kJ/mol of atoms.

4.
Density functional theory data (PBE-GGA) for crystalline KBe3Cl at its relaxed geometry.

The structure in POSCAR format:
```
KBe3Cl
1.0
-4.227 0.924 -4.411
-4.461 0.001 4.275
0.640 6.109 0.666
Be Cl K
3 1 1
Direct
0.000 0.000 0.500
0.500 0.000 0.000
0.000 0.500 0.000
0.500 0.500 0.500
0.000 0.000 0.000
```

Calculated values
The calculation puts the raw formation energy at 1.863 eV/atom. The density of states at the Fermi level comes out at 0.00 states/eV per cell. As for the total magnetization: 0.000 μB per cell. As for the crystal system: cubic. Its space-group type is No. 221. Its excess energy over the best structure of this formula in the dataset is 46.0 kJ/mol of atoms.

5.
Density functional theory data (PBE-GGA) for crystalline K2BeCl at its relaxed geometry.

The structure in POSCAR format:
```
K2BeCl
1.0
7.792 0.118 0.000
5.028 5.953 0.000
-6.410 -3.036 3.228
Be Cl K
1 1 2
Direct
0.500 0.500 0.000
0.750 0.250 0.500
0.000 0.000 0.000
0.250 0.750 0.500
```

Calculated values
The calculation puts the raw formation energy at -0.139 eV/atom. The density of states at the Fermi level comes out at 2.20 states/eV per cell. As for the total magnetization: 0.000 μB per cell. As for the crystal system: tetragonal. Its space-group type is No. 119. Its excess energy over the best structure of this formula in the dataset is 16.0 kJ/mol of atoms.

6.
Density functional theory data (PBE-GGA) for crystalline K2BeCl at its relaxed geometry.

The structure in POSCAR format:
```
K2BeCl
1.0
-6.235 -0.615 2.634
0.675 -4.492 0.550
1.742 0.789 4.309
Cl K Be
1 2 1
Direct
0.500 0.876 0.874
0.500 0.377 0.374
0.000 0.874 0.876
0.000 0.373 0.376
```

Calculated values
The calculation puts the raw formation energy at -0.203 eV/atom. The density of states at the Fermi level comes out at 2.13 states/eV per cell. As for the total magnetization: 0.000 μB per cell. As for the crystal system: monoclinic. Its space-group type is No. 6. Its excess energy over the best structure of this formula in the dataset is 9.8 kJ/mol of atoms.